[1]
Crystalline LaOs at its relaxed geometry. Source: Alexandria via LeMat-Bulk, functional PBE-GGA.

a b c (Å): 8.8104 8.8104 4.5782
angles (deg): 90.00 90.00 120.00
Space group P6_3/mmc (No. 194)
Unique sites:
La 0.1873 0.3745 0.2500 x6
Os 0.1377 0.5689 0.7500 x6

Properties
The calculation puts the formation enthalpy at 0 K at 0.049 eV/atom. The total magnetization comes out at 0.000 μB per formula unit. The density of states at the Fermi level is 2.5 states/eV/f.u.

=====

[2]
Crystalline LaOs3 at its relaxed geometry. Source: Alexandria via LeMat-Bulk, functional PBE-GGA.

a b c (Å): 7.6612 7.1161 5.7043
angles (deg): 90.00 90.00 90.00
Space group Pnma (No. 62)
Unique sites:
La 0.0270 0.2500 0.1229 x4
Os 0.1247 0.7500 0.3501 x4
Os 0.1629 0.0569 0.5815 x8

Properties
The calculation puts the formation enthalpy at 0 K at 0.225 eV/atom. The total magnetization comes out at 0.000 μB per formula unit. The density of states at the Fermi level is 4.1 states/eV/f.u.

=====

[3]
Crystalline LaOs at its relaxed geometry. Source: Alexandria via LeMat-Bulk, functional PBE-GGA.

a b c (Å): 12.0461 3.0492 8.1161
angles (deg): 90.00 113.65 90.00
Space group C2/m (No. 12)
Unique sites:
La 0.0000 0.0000 0.0000 x2
La 0.1903 0.5000 0.7744 x4
Os 0.0000 0.0000 0.5000 x2
Os 0.1499 0.5000 0.4029 x4

Properties
The calculation puts the formation enthalpy at 0 K at 0.321 eV/atom. The total magnetization comes out at 0.000 μB per formula unit. The density of states at the Fermi level is 1.9 states/eV/f.u.

=====

[4]
Crystalline La4Os at its relaxed geometry. Source: Alexandria via LeMat-Bulk, functional PBE-GGA.

a b c (Å): 5.6939 5.6939 5.6939
angles (deg): 90.00 90.00 90.00
Space group Pm-3m (No. 221)
Unique sites:
La 0.0000 0.0000 0.0000 x1
La 0.0000 0.5000 0.5000 x3
Os 0.5000 0.5000 0.5000 x1

Properties
The calculation puts the formation enthalpy at 0 K at 0.017 eV/atom. The total magnetization comes out at 0.219 μB per formula unit. The density of states at the Fermi level is 7.9 states/eV/f.u.

=====

[5]
Crystalline LaOs at its relaxed geometry. Source: Alexandria via LeMat-Bulk, functional PBE-GGA.

a b c (Å): 11.0575 11.0575 4.2564
angles (deg): 90.00 90.00 90.00
Space group I4/m (No. 87)
Unique sites:
La 0.0046 0.2590 0.0000 x8
Os 0.2040 0.7593 0.5000 x8

Properties
The calculation puts the formation enthalpy at 0 K at 0.179 eV/atom. The total magnetization comes out at 0.000 μB per formula unit. The density of states at the Fermi level is 1.9 states/eV/f.u.

=====

[6]
Crystalline La6Os at its relaxed geometry. Source: Alexandria via LeMat-Bulk, functional PBE-GGA.

a b c (Å): 12.7474 11.6883 6.6541
angles (deg): 90.00 90.00 90.00
Space group Pnma (No. 62)
Unique sites:
La 0.0018 0.2500 0.2198 x4
La 0.0084 0.0699 0.7477 x8
La 0.2437 0.2500 0.5872 x4
La 0.2461 0.0854 0.0854 x8
Os 0.1140 0.7500 0.4121 x4

Properties
The calculation puts the formation enthalpy at 0 K at -0.051 eV/atom. The total magnetization comes out at 0.001 μB per formula unit. The density of states at the Fermi level is 12.1 states/eV/f.u.

=====

[7]
Crystalline LaOs at its relaxed geometry. Source: Alexandria via LeMat-Bulk, functional PBE-GGA.

a b c (Å): 3.2977 3.2977 4.6273
angles (deg): 90.00 90.00 120.00
Space group P-6m2 (No. 187)
Unique sites:
La 0.0000 0.0000 0.0000 x1
Os 0.3333 0.6667 0.5000 x1

Properties
The calculation puts the formation enthalpy at 0 K at 0.650 eV/atom. The total magnetization comes out at 0.000 μB per formula unit. The density of states at the Fermi level is 2.2 states/eV/f.u.

=====

[8]
Crystalline LaOs at its relaxed geometry. Source: Alexandria via LeMat-Bulk, functional PBE-GGA.

a b c (Å): 7.8850 7.8850 7.8850
angles (deg): 90.00 90.00 90.00
Space group Pm-3n (No. 223)
Unique sites:
La 0.0000 0.2500 0.5000 x6
Os 0.0000 0.5000 0.2500 x6

Properties
The calculation puts the formation enthalpy at 0 K at 1.366 eV/atom. The total magnetization comes out at 1.017 μB per formula unit. The density of states at the Fermi level is 2.9 states/eV/f.u.